# 1
A plane-wave DFT calculation with PBE was carried out for crystalline PuMg3Pt12 at its relaxed geometry.

a = 4.0190 Å, b = 4.0190 Å, c = 15.9960 Å
α = 90.00°, β = 90.00°, γ = 90.00°
Space group P4/mmm (No. 123)
One atom of each set of equivalent atoms:
1 Pu 0.0000 0.0000 0.0000 x1
2 Mg 0.0000 0.0000 0.2576 x2
3 Mg 0.0000 0.0000 0.5000 x1
4 Pt 0.0000 0.5000 0.1338 x4
5 Pt 0.0000 0.5000 0.3784 x4
6 Pt 0.5000 0.5000 0.0000 x1
7 Pt 0.5000 0.5000 0.2565 x2
8 Pt 0.5000 0.5000 0.5000 x1

Results
Spin magnetization in Bohr magnetons per cell: 3.98
Calculated density in g/cm3: 17.08



# 2
A plane-wave DFT calculation with PBE was carried out for crystalline PuMgPt2 at its relaxed geometry.

a = 4.9942 Å, b = 4.9942 Å, c = 3.0740 Å
α = 90.00°, β = 90.00°, γ = 90.00°
Space group P4/mmm (No. 123)
One atom of each set of equivalent atoms:
1 Pu 0.0000 0.0000 0.0000 x1
2 Mg 0.5000 0.5000 0.0000 x1
3 Pt 0.0000 0.5000 0.5000 x2

Results
Spin magnetization in Bohr magnetons per cell: 5.17
Calculated density in g/cm3: 14.26



no.,formation energy from the elements (eV per atom),V (Å³/atom),DOS at the Fermi energy (states/eV per cell)
1,-0.6157,16.15,27.24
2,-0.7244,19.17,10.77